Entry 1:
8
Lattice="7.5334 0.0000 0.0000 0.0000 4.0069 0.0000 -2.2887 0.0000 7.3261" Properties=species:S:1:pos:R:3 comment="Pr4AuCBr2 (PBE, optimized geometry)" formation_energy_uncorrected_mev_per_atom=-839 space_group="P2/m, No. 10" pbc="T T T"
Pr 1.0705 0.0000 1.4149
Pr -0.1568 2.0034 5.8245
Pr 5.4016 2.0034 1.5016
Pr 4.1743 0.0000 5.9113
Au 3.7667 0.0000 0.0000
C 0.0000 2.0034 0.0000
Br -1.1443 0.0000 3.6631
Br 2.6224 2.0034 3.6631

---

Entry 2:
12
Lattice="4.3957 0.0000 0.0000 0.0000 11.4281 0.0000 0.0000 0.0000 7.3986" Properties=species:S:1:pos:R:3 comment="ZnSb (PBE, optimized geometry)" formation_energy_uncorrected_mev_per_atom=110 space_group="Pmmn, No. 59" pbc="T T T"
Zn 1.0989 1.2084 1.4092
Zn 1.0989 4.5056 1.4092
Zn 1.0989 8.5711 2.6202
Zn 3.2968 2.8570 4.7784
Zn 3.2968 6.9225 5.9893
Zn 3.2968 10.2197 5.9893
Sb 1.0989 2.8570 3.4200
Sb 1.0989 7.0467 0.2929
Sb 1.0989 10.0955 0.2929
Sb 3.2968 1.3326 7.1056
Sb 3.2968 4.3814 7.1056
Sb 3.2968 8.5711 3.9786

---

Entry 3:
4
Lattice="4.3890 0.0000 0.0000 0.0000 4.3890 0.0000 0.0000 0.0000 3.9188" Properties=species:S:1:pos:R:3 comment="KSbIr2 (PBE, optimized geometry)" formation_energy_uncorrected_mev_per_atom=765 space_group="P4/mmm, No. 123" pbc="T T T"
K 0.0000 0.0000 0.0000
Sb 2.1945 2.1945 0.0000
Ir 0.0000 2.1945 1.9594
Ir 2.1945 0.0000 1.9594

---

Entry 4:
8
Lattice="-2.8234 2.8234 5.5760 2.8234 -2.8234 5.5760 2.8234 2.8234 -5.5760" Properties=species:S:1:pos:R:3 comment="AlCuSe2 (PBE, optimized geometry)" formation_energy_uncorrected_mev_per_atom=-632 space_group="I-42d, No. 122" pbc="T T T"
Al 0.0000 0.0000 0.0000
Al 0.0000 2.8234 2.7880
Cu 2.8234 0.0000 2.7880
Cu 0.0000 0.0000 5.5760
Se 4.2351 1.4020 -1.3940
Se 1.4020 1.4117 1.3940
Se -1.4117 1.4214 4.1820
Se 1.4214 1.4117 6.9700

---

Entry 5:
4
Lattice="1.8058 1.0426 10.9395 -1.8058 1.0426 10.9395 0.0000 -2.0851 10.9395" Properties=species:S:1:pos:R:3 comment="KSc2Au (PBE, optimized geometry)" ef_kcal_per_mol_atoms=1.13 space_group="R-3m, No. 166" polymorph_energy_mev_per_atom=159 pbc="T T T"
K 0.0000 0.0000 0.0000
Sc 0.0000 0.0000 3.6318
Sc 0.0000 0.0000 29.1868
Au 0.0000 0.0000 16.4093

---

Entry 6:
4
Lattice="4.3705 0.0000 0.0000 0.0000 4.9084 0.0000 -1.0677 0.0000 7.1412" Properties=species:S:1:pos:R:3 comment="K2SiNi (PBE, optimized geometry)" formation_energy_uncorrected_mev_per_atom=235 space_group="P2/m, No. 10" pbc="T T T"
K 0.4367 0.0000 1.7917
K 2.8661 0.0000 5.3494
Si 2.1853 2.4542 0.0000
Ni 0.0000 2.4542 0.0000

---

no.,total magnetization (μB/cell)
1,0.00
2,0.00
3,0.00
4,0.00
5,1.24
6,0.00